Record 1
Computed, not measured: a geometry-optimized Be2ZnTe structure at the GGA-PBE level of DFT.

Summary:
DOS(E_F)   1.08 states/eV/f.u.
Volume   63.4 Å³ per cell
Total magnetic moment   0.000 μB per atom

a b c (Å): 4.169 4.169 3.650
angles (deg): 90.00 90.00 90.00
Space group P4/mmm (No. 123)
Asymmetric unit:
Be 0.000 0.500 0.000 (multiplicity 2)
Zn 0.000 0.000 0.500 (multiplicity 1)
Te 0.500 0.500 0.500 (multiplicity 1)

---

Record 2
Computed, not measured: a geometry-optimized BeZn2Te structure at the GGA-PBE level of DFT.

Summary:
DOS(E_F)   1.17 states/eV/f.u.
Volume   148.4 Å³ per cell
Total magnetic moment   0.000 μB per atom

a b c (Å): 5.462 6.488 4.188
angles (deg): 90.00 90.00 90.00
Space group Cmmm (No. 65)
Asymmetric unit:
Be 0.000 0.000 0.000 (multiplicity 2)
Zn 0.000 0.195 0.500 (multiplicity 4)
Te 0.000 0.500 0.000 (multiplicity 2)

---

Energy above the lowest structure with this stoichiometry
In order: 1.831, 0.371
Unit: eV/f.u.
Formation energy from raw total energies
In order: 65.0, 27.0
Unit: kJ/mol of atoms
Uncorrected energy
In order: -2.293, -2.074
Unit: eV per atom